Entry from the Alexandria database: crystalline CaCdSbBr2 at its relaxed geometry (PBE-GGA). Values from VASP.

Properties
Its density of states at the Fermi level is 2.656 states/eV per cell. Its total moment is 0.00 μB per cell. The total DFT energy (no corrections) comes out at -2.29 eV per atom. The value obtained for the uncorrected formation energy is -211.3 meV/atom. The space group is P4/mmm.

Quantum ESPRESSO input file:
```
&SYSTEM
  ibrav = 0, nat = 5, ntyp = 4
/
ATOMIC_SPECIES
Br 79.90 Br.upf
Cd 112.41 Cd.upf
Sb 121.76 Sb.upf
Ca 40.08 Ca.upf
CELL_PARAMETERS angstrom
5.732 0.000 0.000
0.000 5.768 0.000
0.000 0.000 5.732
ATOMIC_POSITIONS crystal
Br 0.500 0.000 0.000
Br 0.000 0.000 0.500
Cd 0.000 0.500 0.000
Sb 0.000 0.000 0.000
Ca 0.500 0.500 0.500
```

---

Entry from the Alexandria database: crystalline CaCdSe2Br at its relaxed geometry (PBE-GGA). Values from VASP.

Properties
Its density of states at the Fermi level is 6.773 states/eV per cell. Its total moment is 0.00 μB per cell. For the offset from the most stable computed form, the calculation gives 0.268 eV per atom. The total DFT energy (no corrections) comes out at -2.66 eV per atom. The value obtained for the uncorrected formation energy is -347.4 meV/atom. The space group is P4/mmm.

Quantum ESPRESSO input file:
```
&SYSTEM
  ibrav = 0, nat = 5, ntyp = 4
/
ATOMIC_SPECIES
Se 78.96 Se.upf
Cd 112.41 Cd.upf
Br 79.90 Br.upf
Ca 40.08 Ca.upf
CELL_PARAMETERS angstrom
-2.407 -4.676 -1.813
2.268 -2.809 4.232
-4.358 1.064 3.042
ATOMIC_POSITIONS crystal
Se 0.000 0.500 0.000
Se 0.500 0.000 0.000
Cd 0.500 0.500 0.500
Br 0.000 0.000 0.500
Ca 0.000 0.000 0.000
```

---

Entry from the Alexandria database: crystalline CaCdSe2Br at its relaxed geometry (PBE-GGA). Values from VASP.

Properties
Its density of states at the Fermi level is 2.633 states/eV per cell. Its total moment is 0.00 μB per cell. For the offset from the most stable computed form, the calculation gives 0.000 eV per atom. The total DFT energy (no corrections) comes out at -2.93 eV per atom. The value obtained for the uncorrected formation energy is -615.0 meV/atom. The space group is P4/mmm.

Quantum ESPRESSO input file:
```
&SYSTEM
  ibrav = 0, nat = 5, ntyp = 4
/
ATOMIC_SPECIES
Cd 112.41 Cd.upf
Se 78.96 Se.upf
Ca 40.08 Ca.upf
Br 79.90 Br.upf
CELL_PARAMETERS angstrom
5.210 0.000 0.000
0.000 5.210 0.000
0.000 0.000 5.535
ATOMIC_POSITIONS crystal
Cd 0.000 0.000 0.000
Se 0.000 0.500 0.000
Se 0.500 0.000 0.000
Ca 0.500 0.500 0.500
Br 0.000 0.000 0.500
```

---

Entry from the Alexandria database: crystalline Ca2CdSnBr8 at its relaxed geometry (PBE-GGA). Values from VASP.

Properties
Its density of states at the Fermi level is 0.000 states/eV per cell. Its total moment is 0.00 μB per cell. The total DFT energy (no corrections) comes out at -3.25 eV per atom. The value obtained for the uncorrected formation energy is -1391.9 meV/atom. The space group is P2/m.

Quantum ESPRESSO input file:
```
&SYSTEM
  ibrav = 0, nat = 12, ntyp = 4
/
ATOMIC_SPECIES
Br 79.90 Br.upf
Ca 40.08 Ca.upf
Sn 118.71 Sn.upf
Cd 112.41 Cd.upf
CELL_PARAMETERS angstrom
-0.892 5.107 -4.660
-5.128 2.325 3.520
5.447 5.112 4.559
ATOMIC_POSITIONS crystal
Br 0.334 0.260 0.000
Br 0.841 0.233 0.235
Br 0.346 0.271 0.500
Br 0.159 0.767 0.235
Br 0.654 0.729 0.500
Br 0.159 0.767 0.765
Br 0.666 0.740 0.000
Br 0.841 0.233 0.765
Ca 0.500 0.500 0.244
Ca 0.500 0.500 0.756
Sn 0.000 0.000 0.500
Cd 0.000 0.000 0.000
```

---

Entry from the Alexandria database: crystalline CaCdSnBr6 at its relaxed geometry (PBE-GGA). Values from VASP.

Properties
Its density of states at the Fermi level is 0.000 states/eV per cell. Its total moment is 0.00 μB per cell. The total DFT energy (no corrections) comes out at -3.07 eV per atom. The value obtained for the uncorrected formation energy is -1187.4 meV/atom. The space group is P-31c.

Quantum ESPRESSO input file:
```
&SYSTEM
  ibrav = 0, nat = 18, ntyp = 4
/
ATOMIC_SPECIES
Ca 40.08 Ca.upf
Br 79.90 Br.upf
Sn 118.71 Sn.upf
Cd 112.41 Cd.upf
CELL_PARAMETERS angstrom
7.255 0.000 0.000
-3.628 6.283 0.000
0.000 0.000 13.150
ATOMIC_POSITIONS crystal
Ca 0.333 0.667 0.250
Ca 0.667 0.333 0.750
Br 0.010 0.658 0.873
Br 0.658 0.648 0.127
Br 0.352 0.342 0.373
Br 0.010 0.352 0.627
Br 0.648 0.990 0.873
Br 0.658 0.010 0.373
Br 0.990 0.648 0.373
Br 0.990 0.342 0.127
Br 0.648 0.658 0.627
Br 0.342 0.352 0.873
Br 0.352 0.010 0.127
Br 0.342 0.990 0.627
Sn 0.000 0.000 0.500
Sn 0.000 0.000 0.000
Cd 0.333 0.667 0.750
Cd 0.667 0.333 0.250
```

---

Entry from the Alexandria database: crystalline Sr2CaCdBr at its relaxed geometry (PBE-GGA). Values from VASP.

Properties
Its density of states at the Fermi level is 5.085 states/eV per cell. Its total moment is 0.75 μB per cell. The total DFT energy (no corrections) comes out at -1.43 eV per atom. The value obtained for the uncorrected formation energy is 157.4 meV/atom. The space group is P4/mmm.

Quantum ESPRESSO input file:
```
&SYSTEM
  ibrav = 0, nat = 5, ntyp = 4
/
ATOMIC_SPECIES
Sr 87.62 Sr.upf
Cd 112.41 Cd.upf
Br 79.90 Br.upf
Ca 40.08 Ca.upf
CELL_PARAMETERS angstrom
-5.781 -2.280 3.445
-1.258 -3.411 -4.368
3.820 -5.206 2.964
ATOMIC_POSITIONS crystal
Sr 0.000 0.000 0.500
Sr 0.500 0.000 0.000
Cd 0.000 0.500 0.000
Br 0.500 0.500 0.500
Ca 0.000 0.000 0.000
```

---

Entry from the Alexandria database: crystalline SrCa2CdBr8 at its relaxed geometry (PBE-GGA). Values from VASP.

Properties
Its density of states at the Fermi level is 0.000 states/eV per cell. Its total moment is 0.00 μB per cell. The total DFT energy (no corrections) comes out at -3.40 eV per atom. The value obtained for the uncorrected formation energy is -1730.2 meV/atom. The space group is P2/m.

Quantum ESPRESSO input file:
```
&SYSTEM
  ibrav = 0, nat = 12, ntyp = 4
/
ATOMIC_SPECIES
Br 79.90 Br.upf
Ca 40.08 Ca.upf
Cd 112.41 Cd.upf
Sr 87.62 Sr.upf
CELL_PARAMETERS angstrom
-6.177 0.315 3.219
-0.196 -6.744 0.363
4.081 0.301 7.802
ATOMIC_POSITIONS crystal
Br 0.831 0.227 0.231
Br 0.325 0.270 0.000
Br 0.342 0.282 0.500
Br 0.658 0.718 0.500
Br 0.675 0.730 0.000
Br 0.169 0.773 0.769
Br 0.169 0.773 0.231
Br 0.831 0.227 0.769
Ca 0.500 0.500 0.758
Ca 0.500 0.500 0.242
Cd 0.000 0.000 0.000
Sr 0.000 0.000 0.500
```

---

Entry from the Alexandria database: crystalline CaTlCdBr5 at its relaxed geometry (PBE-GGA). Values from VASP.

Properties
Its density of states at the Fermi level is 0.000 states/eV per cell. Its total moment is 0.00 μB per cell. The total DFT energy (no corrections) comes out at -2.99 eV per atom. The value obtained for the uncorrected formation energy is -1288.4 meV/atom. The space group is C2/c.

Quantum ESPRESSO input file:
```
&SYSTEM
  ibrav = 0, nat = 16, ntyp = 4
/
ATOMIC_SPECIES
Ca 40.08 Ca.upf
Br 79.90 Br.upf
Tl 204.38 Tl.upf
Cd 112.41 Cd.upf
CELL_PARAMETERS angstrom
8.007 0.061 -0.049
-2.279 7.676 -0.049
-2.437 -3.292 9.734
ATOMIC_POSITIONS crystal
Ca 0.000 0.000 0.000
Ca 0.000 0.000 0.500
Br 0.372 0.260 0.054
Br 0.914 0.330 0.111
Br 0.330 0.914 0.611
Br 0.670 0.086 0.389
Br 0.628 0.740 0.946
Br 0.083 0.917 0.250
Br 0.086 0.670 0.889
Br 0.260 0.372 0.554
Br 0.917 0.083 0.750
Br 0.740 0.628 0.446
Tl 0.336 0.664 0.250
Tl 0.664 0.336 0.750
Cd 0.680 0.320 0.250
Cd 0.320 0.680 0.750
```

---

Q: What is the formula in the first record?
A: CaCdSbBr2

---

Q: Look up the total DFT energy (no corrections) of the second one.
A: -2.66 eV per atom

---

Q: Number 6 is which compound?
A: Sr2CaCdBr

---

Q: Which value of total DFT energy (no corrections) does entry 2 give?
A: -2.66 eV per atom